No. 1
VASP calculation (GGA-PBE) on Rb2PaTl3Te6 after structural relaxation.

Computed properties:
**Raw formation energy**: -0.60 eV/atom
**Magnetization**: 0.0 μB/f.u.
**Space-group type**: C2/m, No. 12

a = 9.131 Å, b = 9.131 Å, c = 7.759 Å
α = 98.70°, β = 98.70°, γ = 122.57°
Fractional coordinates of all 12 atoms:
Rb1 0.680 0.320 0.000
Rb2 0.320 0.680 0.000
Tl1 0.877 0.123 0.500
Tl2 0.123 0.877 0.500
Tl3 0.500 0.500 0.500
Te1 0.767 0.767 0.216
Te2 0.660 0.926 0.760
Te3 0.074 0.340 0.240
Te4 0.926 0.660 0.760
Te5 0.340 0.074 0.240
Te6 0.233 0.233 0.784
Pa1 0.000 0.000 0.000


No. 2
VASP calculation (GGA-PBE) on Rb3Pa3TlTe8 after structural relaxation.

Computed properties:
**Raw formation energy**: -0.87 eV/atom
**Magnetization**: 3.0 μB/f.u.
**Space-group type**: R-3m, No. 166

a = 9.198 Å, b = 9.197 Å, c = 10.018 Å
α = 117.34°, β = 90.00°, γ = 120.00°
Each line ends with the local moment (μB).
Fractional coordinates of all 15 atoms:
Pa1 0.500 0.500 0.500  1.01
Pa2 0.000 0.500 0.500  1.01
Pa3 0.500 0.000 0.500  1.01
Te1 0.704 0.953 0.702  -0.03
Te2 0.751 0.501 0.298  -0.03
Te3 0.296 0.047 0.298  -0.03
Te4 0.734 0.469 0.703  -0.03
Te5 0.751 0.047 0.298  -0.03
Te6 0.249 0.499 0.702  -0.03
Te7 0.266 0.531 0.297  -0.03
Te8 0.249 0.953 0.702  -0.03
Rb1 0.000 0.500 0.000  0.00
Rb2 0.500 0.500 0.000  0.00
Rb3 0.000 0.000 0.000  0.00
Tl1 0.000 0.000 0.500  -0.01


No. 3
VASP calculation (GGA-PBE) on RbPa2Tl3Te6 after structural relaxation.

Computed properties:
**Raw formation energy**: -0.67 eV/atom
**Magnetization**: 2.0 μB/f.u.
**Space-group type**: C2/m, No. 12

a = 4.521 Å, b = 9.953 Å, c = 10.795 Å
α = 103.72°, β = 102.09°, γ = 90.00°
Each line ends with the local moment (μB).
Fractional coordinates of all 12 atoms:
Pa1 0.827 0.659 0.653  0.98
Pa2 0.173 0.341 0.347  0.98
Te1 0.674 0.562 0.347  -0.03
Te2 0.969 0.721 0.939  -0.03
Te3 0.319 0.870 0.638  -0.02
Te4 0.681 0.130 0.362  -0.02
Te5 0.326 0.438 0.653  -0.03
Te6 0.031 0.279 0.061  -0.03
Tl1 0.159 0.832 0.318  0.00
Tl2 0.500 0.500 0.000  -0.01
Tl3 0.841 0.168 0.682  0.00
Rb1 0.500 0.000 0.000  0.00


No. 4
VASP calculation (GGA-PBE) on Rb3Pa2TlTe6 after structural relaxation.

Computed properties:
**Raw formation energy**: -0.91 eV/atom
**Magnetization**: 2.0 μB/f.u.
**Space-group type**: C2/m, No. 12

a = 4.584 Å, b = 10.300 Å, c = 10.989 Å
α = 106.18°, β = 102.04°, γ = 90.00°
Each line ends with the local moment (μB).
Fractional coordinates of all 12 atoms:
Te1 0.672 0.138 0.344  -0.03
Te2 0.026 0.256 0.052  -0.03
Te3 0.678 0.556 0.356  -0.03
Te4 0.322 0.444 0.644  -0.03
Te5 0.328 0.862 0.656  -0.03
Te6 0.974 0.744 0.948  -0.03
Pa1 0.831 0.660 0.662  1.00
Pa2 0.169 0.340 0.338  1.00
Rb1 0.846 0.158 0.692  0.00
Rb2 0.154 0.842 0.308  0.00
Rb3 0.500 0.500 0.000  0.00
Tl1 0.500 0.000 0.000  -0.01


Q: Which calculated volume values were calculated for the entries above? A: 43.12, 41.48, 38.40, 40.53, in A^3/atom.
Q: Which total energy values were calculated for the entries above? A: -3.72, -4.80, -4.50, -4.50, in eV/atom.